# La2AlPt SCAN PBEsol geometry
data_La2AlPt
_chemical_formula_sum 'La6 Al3 Pt3'
_cell_length_a 4.5285
_cell_length_b 4.5285
_cell_length_c 16.0292
_cell_angle_alpha 90.00
_cell_angle_beta 90.00
_cell_angle_gamma 120.00
_space_group_name_H-M_alt 'R 3 m'
_space_group_IT_number 160
_space_group_name_Hall 'R 3 -2"'
loop_
_atom_site_label
_atom_site_type_symbol
_atom_site_fract_x
_atom_site_fract_y
_atom_site_fract_z
_atom_site_occupancy
La1 La 0.0000 0.0000 0.0000 1
La2 La 0.0000 0.0000 0.2162 1
Al1 Al 0.0000 0.0000 0.4392 1
Pt1 Pt 0.0000 0.0000 0.7823 1
# - energy of formation from the pure elements (eV/atom) = -0.896
# - size of the total moment (Bohr magnetons per cell) = 0.0
# - VASP energy (eV/atom) = -41.93

=====

# LaAl2Pt3 SCAN PBEsol geometry
data_LaAl2Pt3
_chemical_formula_sum 'La1 Al2 Pt3'
_cell_length_a 5.5768
_cell_length_b 5.5768
_cell_length_c 3.9642
_cell_angle_alpha 90.00
_cell_angle_beta 90.00
_cell_angle_gamma 120.00
_space_group_name_H-M_alt 'P 6/m m m'
_space_group_IT_number 191
_space_group_name_Hall '-P 6 2'
loop_
_atom_site_label
_atom_site_type_symbol
_atom_site_fract_x
_atom_site_fract_y
_atom_site_fract_z
_atom_site_occupancy
La1 La 0.0000 0.0000 0.0000 1
Al1 Al 0.3333 0.6667 0.0000 1
Pt1 Pt 0.0000 0.5000 0.5000 1
# - energy of formation from the pure elements (eV/atom) = -1.376
# - size of the total moment (Bohr magnetons per cell) = 0.0
# - VASP energy (eV/atom) = -46.24